Entry 1:
Entry from Alexandria: a geometry-optimized TmPaInAg structure (PBE-GGA).

Cell: 5.227 5.227 5.227 Å, 60.00 60.00 60.00°
Each line ends with the local moment (μB).
Element x y z (fractional)
Ag1 0.250 0.250 0.250  0.04
Pa1 0.000 0.000 0.000  1.09
In1 0.750 0.750 0.750  -0.02
Tm1 0.500 0.500 0.500  0.34

Summary:
**Spin magnetization**: 1.88 μB per formula unit
**DFT formation energy**: 34 meV per atom



Entry 2:
Entry from Alexandria: a geometry-optimized PaZnInAg structure (PBE-GGA).

Cell: 4.936 4.936 4.936 Å, 60.00 60.00 60.00°
Each line ends with the local moment (μB).
Element x y z (fractional)
Ag1 0.750 0.750 0.750  0.01
In1 0.500 0.500 0.500  0.00
Zn1 0.250 0.250 0.250  0.01
Pa1 0.000 0.000 0.000  0.23

Summary:
**Spin magnetization**: 0.29 μB per formula unit
**DFT formation energy**: 16 meV per atom



Entry 3:
Entry from Alexandria: a geometry-optimized In12AgPb3 structure (PBE-GGA).

Cell: 4.662 4.662 20.045 Å, 90.00 90.00 90.00°
Element x y z (fractional)
In1 0.500 0.500 0.240
In2 0.500 0.000 0.112
In3 0.000 0.500 0.888
In4 0.500 0.500 0.000
In5 0.000 0.500 0.372
In6 0.500 0.500 0.500
In7 0.000 0.500 0.112
In8 0.500 0.000 0.888
In9 0.500 0.500 0.760
In10 0.000 0.500 0.628
In11 0.500 0.000 0.372
In12 0.500 0.000 0.628
Pb1 0.000 0.000 0.500
Pb2 0.000 0.000 0.242
Pb3 0.000 0.000 0.758
Ag1 0.000 0.000 0.000

Summary:
**Spin magnetization**: 0.00 μB per formula unit
**DFT formation energy**: 39 meV per atom